{"formula": "Pr2Er8Mg", "functional": "PBE", "state": "relaxed", "magnetic_moment_mub_per_fu": 0.00, "e_above_lowest_polymorph_kj_per_mol_fu": 25, "space_group": "C2/m", "formation_energy_kj_per_mol_atoms": 13.26, "n_ef_per_ev_cell": 15.7, "lattice": [[8.1433, -3.2929, 0.0000], [8.1433, 3.2929, 0.0000], [-1.3452, 0.0000, 6.5017]], "species": ["Pr", "Pr", "Er", "Er", "Er", "Er", "Er", "Er", "Er", "Er", "Mg"], "fractional_positions": [[0.1864, 0.1864, 0.2948], [0.8136, 0.8136, 0.7052], [0.1790, 0.6586, 0.1124], [0.2461, 0.2461, 0.8150], [0.3414, 0.8210, 0.8876], [0.4075, 0.4075, 0.5850], [0.5925, 0.5925, 0.4150], [0.6586, 0.1790, 0.1124], [0.7539, 0.7539, 0.1850], [0.8210, 0.3414, 0.8876], [0.0000, 0.0000, 0.5000]]}


{"formula": "LaTiW3", "functional": "PBE", "state": "relaxed", "magnetic_moment_mub_per_fu": 0.01, "space_group": "Pm-3m", "formation_energy_kj_per_mol_atoms": 263.03, "n_ef_per_ev_cell": 11.0, "lattice": [[4.7996, 0.0000, 0.0000], [0.0000, 4.7996, 0.0000], [0.0000, 0.0000, 4.7996]], "species": ["La", "Ti", "W", "W", "W"], "fractional_positions": [[0.0000, 0.0000, 0.0000], [0.5000, 0.5000, 0.5000], [0.0000, 0.0000, 0.5000], [0.0000, 0.5000, 0.0000], [0.5000, 0.0000, 0.0000]]}


Computed total energy (eV/atom) in order:
-4.19, -7.61